(1)
A plane-wave DFT calculation with GGA-PBEsol was carried out for Tb3Tm after structural relaxation.

Results
Energy of formation from the pure elements: 13.4 meV/atom
DOS at the Fermi energy: 4.94 states/eV/f.u.
Uncorrected energy: -39.75 eV/cell

CIF file:
```
data_Tb3Tm
_chemical_formula_sum 'Tb6 Tm2'
_cell_length_a 4.895
_cell_length_b 4.895
_cell_length_c 9.796
_cell_angle_alpha 90.00
_cell_angle_beta 90.00
_cell_angle_gamma 90.00
_space_group_name_H-M_alt 'I 4/m m m'
_space_group_IT_number 139
_space_group_name_Hall '-I 4 2'
loop_
_atom_site_label
_atom_site_type_symbol
_atom_site_fract_x
_atom_site_fract_y
_atom_site_fract_z
_atom_site_occupancy
Tb1 Tb 0.000 0.000 0.000 1
Tb2 Tb 0.000 0.500 0.250 1
Tm1 Tm 0.000 0.000 0.500 1
```

=====

(2)
A plane-wave DFT calculation with GGA-PBEsol was carried out for TbZn after structural relaxation.

Results
Energy of formation from the pure elements: -334.5 meV/atom
DOS at the Fermi energy: 2.35 states/eV/f.u.
Uncorrected energy: -7.26 eV/cell

CIF file:
```
data_TbZn
_chemical_formula_sum 'Tb1 Zn1'
_cell_length_a 3.513
_cell_length_b 3.513
_cell_length_c 3.513
_cell_angle_alpha 90.00
_cell_angle_beta 90.00
_cell_angle_gamma 90.00
_space_group_name_H-M_alt 'P m -3 m'
_space_group_IT_number 221
_space_group_name_Hall '-P 4 2 3'
loop_
_atom_site_label
_atom_site_type_symbol
_atom_site_fract_x
_atom_site_fract_y
_atom_site_fract_z
_atom_site_occupancy
Tb1 Tb 0.000 0.000 0.000 1
Zn1 Zn 0.500 0.500 0.500 1
```

=====

(3)
A plane-wave DFT calculation with GGA-PBEsol was carried out for Tb3Zn11 after structural relaxation.

Results
Energy of formation from the pure elements: -350.9 meV/atom
DOS at the Fermi energy: 6.69 states/eV/f.u.
Uncorrected energy: -74.69 eV/cell

CIF file:
```
data_Tb3Zn11
_chemical_formula_sum 'Tb6 Zn22'
_cell_length_a 4.314
_cell_length_b 8.675
_cell_length_c 12.733
_cell_angle_alpha 90.00
_cell_angle_beta 90.00
_cell_angle_gamma 90.00
_space_group_name_H-M_alt 'I m m m'
_space_group_IT_number 71
_space_group_name_Hall '-I 2 2'
loop_
_atom_site_label
_atom_site_type_symbol
_atom_site_fract_x
_atom_site_fract_y
_atom_site_fract_z
_atom_site_occupancy
Tb1 Tb 0.000 0.000 0.000 1
Tb2 Tb 0.000 0.000 0.294 1
Zn1 Zn 0.000 0.182 0.500 1
Zn2 Zn 0.000 0.283 0.140 1
Zn3 Zn 0.000 0.360 0.343 1
Zn4 Zn 0.000 0.500 0.000 1
```